(1)
An optimized crystal structure of FeBiW2. Source: OQMD, functional PBE.

Summary:
Calculated density, kg/m3: 15731
Space-group type: No. 216
Raw total energy, Ha/atom: -0.31856

a = 4.5536 Å, b = 4.5536 Å, c = 4.5536 Å
α = 60.00°, β = 60.00°, γ = 60.00°
Fractional coordinates of all 4 atoms:
Fe 0.0000 0.0000 0.0000
Bi 0.7500 0.7500 0.7500
W 0.2500 0.2500 0.2500
W 0.5000 0.5000 0.5000


(2)
An optimized crystal structure of BeGaNiAg. Source: OQMD, functional PBE.

Summary:
Calculated density, kg/m3: 7867
Space-group type: No. 216
Raw total energy, Ha/atom: -0.13759

a = 4.1835 Å, b = 4.1835 Å, c = 4.1835 Å
α = 60.00°, β = 60.00°, γ = 60.00°
Fractional coordinates of all 4 atoms:
Be 0.0000 0.0000 0.0000
Ga 0.2500 0.2500 0.2500
Ni 0.5000 0.5000 0.5000
Ag 0.7500 0.7500 0.7500


(3)
An optimized crystal structure of SrDyIr. Source: OQMD, functional PBE.

Summary:
Calculated density, kg/m3: 8586
Space-group type: No. 216
Raw total energy, Ha/atom: -0.19836

a = 4.9459 Å, b = 4.9459 Å, c = 4.9459 Å
α = 60.00°, β = 60.00°, γ = 60.00°
Fractional coordinates of all 3 atoms:
Sr 0.0000 0.0000 0.0000
Dy 0.5000 0.5000 0.5000
Ir 0.7500 0.7500 0.7500


raw total energy of number 1 (FeBiW2)?
-0.31856 Ha/atom